Record 1
Here is a relaxed KAsRu2 crystal from Alexandria. Energies are from PBE-GGA.

Structure (extended XYZ):
```
4
Lattice="-0.2092 -1.8296 2.4570 1.7289 -2.1032 -1.4190 6.8192 3.4704 3.1648" Properties=species:S:1:pos:R:3 pbc="T T T"
K 5.8742 0.6364 2.8926
As 2.4647 -1.0988 1.3102
Ru 0.5877 0.2991 0.2727
Ru 2.8219 1.4361 1.3097
```

mass density = 6.7 g/cm3
E = -22.1 eV per formula unit
ΔE_f = 0.5512 eV/atom
Fermi-level density of states = 1.1114 states/eV/atom

***

Record 2
Here is a relaxed Ac2NiSbPd6 crystal from Alexandria. Energies are from PBE-GGA.

Structure (extended XYZ):
```
10
Lattice="5.5545 0.0110 -0.0443 -0.0157 8.7990 0.0852 2.8059 4.3392 4.4676" Properties=species:S:1:pos:R:3 pbc="T T T"
Sb 2.7694 4.4050 0.0205
Pd 4.1470 6.5237 4.4254
Pd 7.0121 6.5302 4.4005
Pd 5.5525 10.1363 2.2233
Ac 5.5659 4.6265 2.3676
Ac 2.7788 8.5227 2.1409
Pd 4.1977 6.6255 0.0832
Pd 1.3326 6.6190 0.1080
Pd 2.7922 3.0129 2.2852
Ni 0.0000 0.0000 0.0000
```

E_form (uncorrected) = -6.13 eV/f.u.
mass density = 9.7 g/cm3
E = -55.4 eV per formula unit
Fermi-level density of states = 0.4459 states/eV/atom

***

Record 3
Here is a relaxed HgSbIr2 crystal from Alexandria. Energies are from PBE-GGA.

Structure (extended XYZ):
```
8
Lattice="-5.2792 4.5999 2.2535 1.5497 -1.6502 6.9987 0.0552 3.6368 4.7108" Properties=species:S:1:pos:R:3 pbc="T T T"
Ir -2.9381 3.4438 3.3953
Hg 0.0000 0.0000 0.0000
Ir 0.1685 0.5869 5.8993
Sb -1.8648 1.4748 4.6261
Ir -3.2671 5.3567 11.4247
Hg -3.5444 4.8558 5.7952
Sb -0.1300 1.7308 8.1678
Ir -1.3120 3.7857 7.2067
```

E_form (uncorrected) = 2.17 eV/f.u.
mass density = 15.0 g/cm3
E = -20.0 eV per formula unit
E above lowest polymorph = 21.0 kJ/mol of atoms
Fermi-level density of states = 0.9263 states/eV/atom

***

Record 4
Here is a relaxed KAlRu2 crystal from Alexandria. Energies are from PBE-GGA.

Structure (extended XYZ):
```
4
Lattice="-1.9442 -3.3157 -1.5486 1.3702 0.3296 -2.4260 5.8649 -4.0854 1.3840" Properties=species:S:1:pos:R:3 pbc="T T T"
Ru 0.5729 -0.3866 0.1085
Ru 3.0447 -1.4913 -0.6295
Al 0.8367 -2.5968 -1.0348
K 4.4543 -4.4747 -1.5558
```

mass density = 5.3 g/cm3
E = -21.1 eV per formula unit
ΔE_f = 0.5622 eV/atom
Fermi-level density of states = 1.0365 states/eV/atom

***

Record 5
Here is a relaxed Co2WSe crystal from Alexandria. Energies are from PBE-GGA.

Structure (extended XYZ):
```
4
Lattice="-0.1198 3.9828 1.3582 -3.5468 1.5555 1.6499 -0.2237 0.8115 4.1247" Properties=species:S:1:pos:R:3 pbc="T T T"
W -2.9177 4.7623 5.3496
Co -0.9726 1.5874 1.7832
Se -1.9451 3.1749 3.5664
Co 0.0000 0.0000 0.0000
```

E_form (uncorrected) = 1.65 eV/f.u.
mass density = 12.0 g/cm3
E = -29.0 eV per formula unit
Fermi-level density of states = 1.0935 states/eV/atom

***

Record 6
Here is a relaxed Sr2TmWN4 crystal from Alexandria. Energies are from PBE-GGA.

Structure (extended XYZ):
```
16
Lattice="-0.8501 -5.1430 2.2110 3.4330 -2.8470 -5.3025 6.5027 0.5972 3.8894" Properties=species:S:1:pos:R:3 pbc="T T T"
W 5.7486 -4.7137 -1.4608
N 5.5541 -6.4783 -0.8647
Tm 2.4596 -4.8772 -3.3633
N 0.1403 -2.0595 0.0817
N 6.7351 -3.8404 -0.0775
Sr 3.1051 -6.7317 -0.3813
Sr 5.6598 -2.9314 2.1904
Tm 2.9748 -5.2335 3.2565
Sr 6.3010 -6.4381 1.5303
N 3.2981 -1.9206 2.2073
N 2.3273 -7.0345 -2.8109
N 1.5623 -5.4697 1.3945
N 5.2922 -5.1271 3.6254
Sr 2.3531 -3.2351 0.2126
N 3.9623 -4.0951 -1.7360
W 0.5057 -0.4368 -0.7784
```

E_form (uncorrected) = -8.10 eV/f.u.
mass density = 6.5 g/cm3
E = -62.2 eV per formula unit
Fermi-level density of states = 0.2396 states/eV/atom

***

Record 7
Here is a relaxed Th2BeGe2 crystal from Alexandria. Energies are from PBE-GGA.

Structure (extended XYZ):
```
10
Lattice="3.9733 0.0000 0.7543 1.8051 5.4400 1.3332 0.1210 -0.2765 10.2042" Properties=species:S:1:pos:R:3 pbc="T T T"
Ge 5.0808 3.5861 5.7621
Th 1.6722 3.8181 2.0337
Be 3.2444 4.3367 4.5939
Th 4.2273 1.3454 10.2581
Be 2.6551 0.8267 7.6979
Ge 4.1964 4.4408 10.4208
Ge 1.7030 0.7227 1.8710
Th 2.6390 3.9401 7.7827
Th 3.2605 1.2233 4.5091
Ge 0.8186 1.5774 6.5297
```

mass density = 9.3 g/cm3
E = -31.0 eV per formula unit
ΔE_f = -0.6309 eV/atom
Fermi-level density of states = 0.4945 states/eV/atom

***

Record 8
Here is a relaxed HoTh2Ge2Rh7 crystal from Alexandria. Energies are from PBE-GGA.

Structure (extended XYZ):
```
12
Lattice="4.1309 0.0295 -0.1412 0.0345 4.1308 -0.1412 1.5611 1.5592 12.8680" Properties=species:S:1:pos:R:3 pbc="T T T"
Rh 3.6655 3.6610 6.9732
Rh 3.5535 1.4984 10.7516
Ho 0.0000 0.0000 0.0000
Rh 2.0610 2.0584 5.6123
Rh 2.0827 2.0802 -0.1412
Ge 3.5195 3.5152 9.4056
Rh 1.5028 3.5516 10.7516
Th 4.3612 4.3559 4.2087
Ge 2.2069 2.2042 3.1799
Rh 2.1730 4.2211 1.8338
Rh 4.2237 2.1679 1.8338
Th 1.3653 1.3636 8.3768
```

mass density = 11.2 g/cm3
E = -89.2 eV per formula unit
ΔE_f = -0.7610 eV/atom
Fermi-level density of states = 0.5828 states/eV/atom

***

Record 9
Here is a relaxed NaLa2As4Pt3 crystal from Alexandria. Energies are from PBE-GGA.

Structure (extended XYZ):
```
10
Lattice="-1.8964 3.8136 -1.4705 -1.1514 -2.0539 -3.8417 -8.9308 -2.8263 4.1878" Properties=species:S:1:pos:R:3 pbc="T T T"
Na -5.9893 -0.5333 -0.5622
As -1.5239 0.8799 -2.6561
La -3.1092 1.2229 0.2781
Pt -1.5776 -1.3440 -1.4510
Pt -8.8771 -0.6024 2.9827
As 0.0000 0.0000 0.0000
Pt -4.4654 -1.4132 2.0939
La -7.3456 -3.1694 1.2536
As -6.6899 0.0898 1.9571
As -3.7648 -2.0362 -0.4254
```

mass density = 9.5 g/cm3
E = -56.8 eV per formula unit
ΔE_f = -0.8891 eV/atom
Fermi-level density of states = 0.2967 states/eV/atom

***

Record 10
Here is a relaxed K2Hf3AgS8 crystal from Alexandria. Energies are from PBE-GGA.

Structure (extended XYZ):
```
14
Lattice="-5.8079 4.4547 1.3876 -5.5825 0.4807 -4.9099 -7.5387 -4.3752 2.4911" Properties=species:S:1:pos:R:3 pbc="T T T"
Hf -8.5941 2.5225 -4.0708
S -14.5656 -0.1731 -0.4122
Hf -8.7051 4.4806 -0.9678
S -7.5545 2.5449 0.2085
S -10.1956 2.7723 -2.1145
Hf -5.8433 2.2856 -1.6516
S -4.5727 0.3968 -0.4141
S -11.7423 -0.5051 1.9973
S -7.4478 0.6647 -2.7710
Ag -11.5564 4.6683 -3.3597
S -8.9758 -2.6269 1.3364
K -5.9915 -1.8859 0.9756
K -9.5935 0.0726 -0.3893
S -11.6349 -2.3979 -1.0023
```

E_form (uncorrected) = -18.23 eV/f.u.
mass density = 4.2 g/cm3
E = -86.2 eV per formula unit
Fermi-level density of states = 0.3902 states/eV/atom

***

Record 11
Here is a relaxed Ba2Sc crystal from Alexandria. Energies are from PBE-GGA.

Structure (extended XYZ):
```
6
Lattice="5.7641 6.1603 -7.3250 -8.7228 -4.7212 5.1433 -0.4146 4.8986 3.7935" Properties=species:S:1:pos:R:3 pbc="T T T"
Ba -4.5411 -0.2777 2.4035
Ba -3.2077 3.3288 2.9743
Ba -0.1655 3.0089 -1.3624
Ba 1.1679 6.6154 -0.7916
Sc 5.0488 6.9255 -5.8502
Sc -8.4220 -0.5878 7.4620
```

mass density = 3.9 g/cm3
E = -9.2 eV per formula unit
ΔE_f = 0.3284 eV/atom
E above lowest polymorph = 7.9 kJ/mol of atoms
Fermi-level density of states = 1.9934 states/eV/atom

***

Record 12
Here is a relaxed Pa3Hg5O12 crystal from Alexandria. Energies are from PBE-GGA.

Structure (extended XYZ):
```
80
Lattice="11.6156 0.0000 0.0000 -3.8719 10.9513 0.0000 -3.8719 -5.4756 9.4841" Properties=species:S:1:pos:R:3 pbc="T T T"
O 1.9766 7.0960 4.1091
O -1.2871 -2.9164 7.0011
O -3.9125 4.3688 8.8328
O 3.9125 1.6204 5.3750
O 2.1594 4.1820 0.9749
O 1.2871 0.6921 5.7169
O 2.3206 1.0575 3.1343
O -0.2235 3.9846 0.6329
Hg -0.9680 0.6845 5.9276
Hg 4.8398 4.7912 3.5565
O 4.0954 1.4911 8.8512
O 0.3847 6.5332 6.3498
Pa -2.9039 -2.0534 8.2986
O 2.5848 4.7835 3.7672
Pa 6.7758 3.4223 1.1855
O -4.5207 2.9164 7.0011
O 5.1589 1.8671 1.2842
O -0.3847 0.5522 2.2591
Hg 0.9680 3.4223 8.2986
O 5.1589 8.3921 2.4830
Pa -0.9680 4.7912 5.9276
O 5.7671 2.7272 3.4578
Pa 0.9680 5.4756 2.3710
O -1.7124 -0.1974 7.8763
O 7.7844 1.1069 0.6513
Hg -0.9680 2.7378 2.3710
Pa 4.8398 0.6845 3.5565
O 7.3590 0.5053 4.0908
O -1.2871 3.6085 8.1999
Hg 1.9359 2.7378 4.7420
Pa 8.7117 0.0000 2.3710
O 3.4872 -1.0575 3.1343
Hg 6.7758 -0.6845 5.9276
Pa -2.9039 2.0534 8.2986
O -3.4872 4.9703 5.3933
Hg 2.9039 8.2135 2.3710
Hg -1.9359 5.4756 0.0000
O 8.3926 2.5592 2.4830
O -2.3206 6.0279 7.2250
Hg 4.8398 -3.4223 8.2986
O 4.2565 4.9234 7.2250
O -3.8312 8.2241 3.4578
O 5.7671 9.8444 0.6513
O -3.2230 9.0842 1.2842
O 7.7030 -2.7484 6.0263
Pa 2.9039 0.0000 7.1131
Pa 6.7758 7.5290 1.1855
O -0.2235 6.7693 0.9749
Hg 0.0000 0.0000 0.0000
O -1.8953 2.7484 6.0263
Hg 2.9039 2.0534 1.1855
Hg -1.9359 -2.7378 4.7420
O 1.8953 -1.6204 5.3750
Hg -2.9039 6.1601 3.5565
Hg 4.8398 2.7378 7.1131
O -4.0954 0.1974 7.8763
O -1.5512 -0.5053 4.0908
Pa 2.9039 6.1601 5.9276
Hg 5.8078 0.0000 0.0000
O 1.5512 4.4181 6.3498
Hg -0.9680 8.8979 1.1855
O -0.6489 6.1678 3.7672
O 5.4231 5.9809 5.3933
O 7.9672 5.2782 1.6078
Hg 3.8719 5.4756 0.0000
Hg 3.8719 -2.7378 4.7420
Pa -4.8398 5.4756 7.1131
O 1.7124 1.2937 8.5092
O 7.0949 -3.6085 8.1999
O 6.1925 -0.5522 2.2591
O 5.5843 5.6731 1.6078
O -1.8953 -4.3688 8.8328
O -0.0407 3.8553 4.1091
Pa 0.9680 -0.6845 3.5565
Hg 0.9680 -2.7378 7.1131
O 1.7124 -1.4911 8.8512
O 4.5207 -0.6921 5.7169
O 4.0954 -1.2937 8.5092
Hg -3.8719 2.7378 4.7420
O 2.1594 6.9667 0.6329
```

E_form (uncorrected) = -33.28 eV/f.u.
mass density = 10.4 g/cm3
E = -122.8 eV per formula unit
Fermi-level density of states = 0.1001 states/eV/atom

***

Record 13
Here is a relaxed HfMgZrTi crystal from Alexandria. Energies are from PBE-GGA.

Structure (extended XYZ):
```
4
Lattice="-2.3420 -1.0780 -1.6155 1.9413 -1.3743 -1.8973 0.0135 -6.8757 7.4339" Properties=species:S:1:pos:R:3 pbc="T T T"
Ti -0.1259 -5.4594 3.8257
Zr -0.2212 -2.1269 -1.1252
Hf -0.3643 -8.3327 3.2236
Mg -0.0677 -2.9333 2.0556
```

mass density = 6.2 g/cm3
E = -27.2 eV per formula unit
ΔE_f = 0.2016 eV/atom
Fermi-level density of states = 0.8224 states/eV/atom

***

Record 14
Here is a relaxed Dy7Ga2Co2 crystal from Alexandria. Energies are from PBE-GGA.

Structure (extended XYZ):
```
11
Lattice="0.1247 -6.6215 -0.1020 5.5139 0.0428 3.9813 -3.6848 2.1157 5.0810" Properties=species:S:1:pos:R:3 pbc="T T T"
Dy 0.5021 -1.1657 8.0064
Dy 0.0000 0.0000 0.0000
Ga 2.1621 -0.7315 2.8226
Co 4.5116 -3.9942 5.4124
Dy 2.3806 -2.2226 5.4919
Dy 2.2826 1.0877 5.5163
Ga -0.2083 -3.7315 6.1376
Dy -0.3289 -5.5508 3.4439
Co -2.5578 -0.4688 3.5479
Dy 1.4516 -3.2973 0.9538
Dy -0.4269 -2.2404 3.4683
```

mass density = 8.3 g/cm3
E = -54.8 eV per formula unit
ΔE_f = -0.2128 eV/atom
Fermi-level density of states = 0.9468 states/eV/atom

***

Record 15
Here is a relaxed MgBeRu2 crystal from Alexandria. Energies are from PBE-GGA.

Structure (extended XYZ):
```
4
Lattice="-1.3665 -1.4757 2.1708 1.1103 -3.8408 -1.9120 3.5018 -0.0636 2.1611" Properties=species:S:1:pos:R:3 pbc="T T T"
Ru 0.0000 0.0000 0.0000
Ru -0.1281 -2.6583 0.1294
Mg 2.3060 -1.9522 0.1245
Be 1.0676 -0.7697 2.1660
```

mass density = 7.2 g/cm3
E = -23.3 eV per formula unit
ΔE_f = 0.1523 eV/atom
Fermi-level density of states = 0.9115 states/eV/atom

***

Record 16
Here is a relaxed KMoAsSe2 crystal from Alexandria. Energies are from PBE-GGA.

Structure (extended XYZ):
```
5
Lattice="5.0985 0.0000 0.0000 0.0000 5.0985 0.0000 0.0000 0.0000 4.9037" Properties=species:S:1:pos:R:3 pbc="T T T"
Se 2.5492 0.0000 0.0000
Se 0.0000 2.5492 0.0000
As 0.0000 0.0000 2.4519
K 2.5492 2.5492 2.4519
Mo 0.0000 0.0000 0.0000
```

E_form (uncorrected) = -1.18 eV/f.u.
mass density = 4.8 g/cm3
E = -24.7 eV per formula unit
E above lowest polymorph = 0.0 kJ/mol of atoms
Fermi-level density of states = 0.7180 states/eV/atom

***

Record 17
Here is a relaxed Zr12Tl3Bi crystal from Alexandria. Energies are from PBE-GGA.

Structure (extended XYZ):
```
16
Lattice="5.6737 0.0000 0.0000 0.0000 5.6726 0.0000 0.0000 0.0000 11.3615" Properties=species:S:1:pos:R:3 pbc="T T T"
Zr 0.0000 4.2470 2.8296
Tl 2.8369 2.8363 8.5196
Zr 4.2365 2.8363 5.6807
Zr 1.4196 2.8363 0.0000
Zr 0.0000 4.2470 8.5319
Zr 1.4372 2.8363 5.6807
Zr 2.8369 0.0000 9.9616
Zr 0.0000 1.4255 2.8296
Zr 0.0000 1.4255 8.5319
Bi 0.0000 0.0000 5.6807
Zr 2.8369 0.0000 7.1384
Zr 4.2541 2.8363 0.0000
Tl 0.0000 0.0000 0.0000
Tl 2.8369 2.8363 2.8419
Zr 2.8369 0.0000 4.2231
Zr 2.8369 0.0000 1.3998
```

mass density = 8.7 g/cm3
E = -115.8 eV per formula unit
ΔE_f = -0.1383 eV/atom
Fermi-level density of states = 1.1471 states/eV/atom

***

Record 18
Here is a relaxed CeIn2Hg6 crystal from Alexandria. Energies are from PBE-GGA.

Structure (extended XYZ):
```
9
Lattice="3.3337 -0.0063 -0.0060 1.7040 8.6701 1.9732 1.7040 2.3513 8.5753" Properties=species:S:1:pos:R:3 pbc="T T T"
In 5.0460 7.1404 6.8340
Hg 3.3709 4.4013 6.4271
Hg 1.6618 0.8585 2.9403
Hg 5.0800 10.1566 7.6022
In 1.6958 3.8748 3.7085
Hg 3.3709 6.6138 4.1154
Hg 5.0800 8.0401 9.8137
Ce 3.3337 -0.0063 -0.0060
Hg 1.6618 2.9751 0.7289
```

mass density = 11.2 g/cm3
E = -14.1 eV per formula unit
ΔE_f = -0.0925 eV/atom
E above lowest polymorph = 5.4 kJ/mol of atoms
Fermi-level density of states = 1.0372 states/eV/atom

***

Record 19
Here is a relaxed MoP2Ru crystal from Alexandria. Energies are from PBE-GGA.

Structure (extended XYZ):
```
4
Lattice="-2.7408 -0.5926 -1.1004 2.0271 -0.9823 -4.5198 0.3952 -3.6164 0.9632" Properties=species:S:1:pos:R:3 pbc="T T T"
P 0.0000 0.0000 0.0000
Mo 1.2112 -2.2993 -1.7783
P -0.3568 -0.7875 -2.8101
Ru -1.1728 -2.1045 -0.0686
```

mass density = 7.5 g/cm3
E = -30.6 eV per formula unit
ΔE_f = 0.0889 eV/atom
Fermi-level density of states = 0.7130 states/eV/atom

***

Record 20
Here is a relaxed KNa2MgTl crystal from Alexandria. Energies are from PBE-GGA.

Structure (extended XYZ):
```
5
Lattice="6.0961 0.0000 0.0000 0.0000 6.0961 0.0000 0.0000 0.0000 5.6568" Properties=species:S:1:pos:R:3 pbc="T T T"
Tl 0.0000 0.0000 2.8284
Mg 0.0000 0.0000 0.0000
K 3.0480 3.0480 2.8284
Na 0.0000 3.0480 0.0000
Na 3.0480 0.0000 0.0000
```

mass density = 2.5 g/cm3
E = -7.1 eV per formula unit
ΔE_f = 0.1162 eV/atom
E above lowest polymorph = 6.0 kJ/mol of atoms
Fermi-level density of states = 0.6357 states/eV/atom

***

no.,total moment (μB/cell)
1,1.650
2,0.000
3,0.000
4,1.629
5,0.498
6,2.000
7,0.000
8,0.000
9,0.000
10,0.000
11,1.546
12,0.000
13,0.000
14,0.000
15,0.005
16,0.000
17,0.000
18,1.402
19,0.000
20,0.000